TiPWF2 GGA+U relaxed; electronic total energy = -6.096 eV per atom; space-group type = P4/mmm, No. 123
1.0
3.7899 0.0000 0.0000
0.0000 3.7899 0.0000
0.0000 0.0000 6.1328
Ti P W F
1 1 1 2
direct
0.0000 0.0000 0.0000
0.5000 0.5000 0.5000
0.0000 0.0000 0.5000
0.0000 0.5000 0.0000
0.5000 0.0000 0.0000